# 1
First-principles (GGA-PBE) data for P3SeN after structural relaxation, as listed in the Alexandria database.

abc: 4.395 5.128 5.556
angles: 87.69 70.49 72.32
Fractional positions:
Se 0.504 0.717 0.997
P 0.270 0.557 0.383
P 0.119 0.159 0.032
P 0.738 0.218 0.418
N 0.095 0.329 0.304

## Properties
energy = -5.470 eV per atom
energy above the most stable polymorph in this dataset = 38 meV per atom
E_form (uncorrected) = 0.138 eV/atom

=====

# 2
First-principles (GGA-PBE) data for P3SeN after structural relaxation, as listed in the Alexandria database.

abc: 3.587 5.095 5.826
angles: 71.22 72.87 87.26
Fractional positions:
N 0.463 0.659 0.388
Se 0.741 0.237 0.874
P 0.250 0.831 0.175
P 0.452 0.317 0.475
P 0.079 0.244 0.222

## Properties
energy = -5.364 eV per atom
energy above the most stable polymorph in this dataset = 144 meV per atom
E_form (uncorrected) = 0.244 eV/atom

=====

# 3
First-principles (GGA-PBE) data for PSe2N after structural relaxation, as listed in the Alexandria database.

abc: 7.130 7.130 7.130
angles: 30.62 30.62 30.62
Fractional positions:
N 0.000 0.000 0.000
P 0.500 0.500 0.500
Se 0.913 0.913 0.913
Se 0.087 0.087 0.087

## Properties
energy = -4.287 eV per atom
energy above the most stable polymorph in this dataset = 0 meV per atom
E_form (uncorrected) = 0.889 eV/atom